Record 1
Crystalline SiIrBr4 at its relaxed geometry. Source: Alexandria via LeMat-Bulk, functional PBE.

formation energy without anion corrections = 1618 meV/atom
space group = F-43m, No. 216
E = -1.878 eV per atom

abc: 6.034 6.034 6.034
angles: 60.00 60.00 60.00
Atoms (fractional coordinates):
Si 0.000 0.000 0.000
Ir 0.250 0.250 0.250
Br 0.129 0.624 0.624
Br 0.624 0.129 0.624
Br 0.624 0.624 0.129
Br 0.624 0.624 0.624

Record 2
Crystalline Cs2AlPdF6 at its relaxed geometry. Source: Alexandria via LeMat-Bulk, functional PBE.

formation energy without anion corrections = -2645 meV/atom
relative energy among the computed polymorphs = 0 meV/atom
space group = I4/mmm, No. 139
E = -4.832 eV per atom

abc: 6.181 6.181 6.181
angles: 115.81 115.81 97.43
Atoms (fractional coordinates):
Cs 0.250 0.750 0.500
Cs 0.750 0.250 0.500
Al 0.000 0.000 0.000
Pd 0.500 0.500 0.000
F 0.196 0.196 0.393
F 0.196 0.804 0.000
F 0.234 0.234 0.000
F 0.766 0.766 0.000
F 0.804 0.196 0.000
F 0.804 0.804 0.607

Record 3
Crystalline Tm2Zr3Ni2 at its relaxed geometry. Source: Alexandria via LeMat-Bulk, functional PBE.

ΔH_f (0 K) = -0.25 eV/atom
space group = C2/m, No. 12
E = -6.842 eV per atom

abc: 5.861 5.861 8.405
angles: 111.37 111.37 33.93
Atoms (fractional coordinates):
Tm 0.155 0.155 0.301
Tm 0.845 0.845 0.699
Zr 0.383 0.383 0.062
Zr 0.500 0.500 0.500
Zr 0.617 0.617 0.938
Ni 0.152 0.152 0.721
Ni 0.848 0.848 0.279

Copy entry 2 word for word.
Crystalline Cs2AlPdF6 at its relaxed geometry. Source: Alexandria via LeMat-Bulk, functional PBE.

formation energy without anion corrections = -2645 meV/atom
relative energy among the computed polymorphs = 0 meV/atom
space group = I4/mmm, No. 139
E = -4.832 eV per atom

abc: 6.181 6.181 6.181
angles: 115.81 115.81 97.43
Atoms (fractional coordinates):
Cs 0.250 0.750 0.500
Cs 0.750 0.250 0.500
Al 0.000 0.000 0.000
Pd 0.500 0.500 0.000
F 0.196 0.196 0.393
F 0.196 0.804 0.000
F 0.234 0.234 0.000
F 0.766 0.766 0.000
F 0.804 0.196 0.000
F 0.804 0.804 0.607

Please write out number 1 again, unchanged.
Crystalline SiIrBr4 at its relaxed geometry. Source: Alexandria via LeMat-Bulk, functional PBE.

formation energy without anion corrections = 1618 meV/atom
space group = F-43m, No. 216
E = -1.878 eV per atom

abc: 6.034 6.034 6.034
angles: 60.00 60.00 60.00
Atoms (fractional coordinates):
Si 0.000 0.000 0.000
Ir 0.250 0.250 0.250
Br 0.129 0.624 0.624
Br 0.624 0.129 0.624
Br 0.624 0.624 0.129
Br 0.624 0.624 0.624